[1]
This record from the Alexandria database describes a geometry-optimized AlSe3O structure. The functional is GGA-PBE.

abc: 4.802 4.802 4.802
angles: 90.00 90.00 90.00
Fractional positions:
O 0.500 0.500 0.500
Al 0.000 0.000 0.000
Se 0.000 0.500 0.000
Se 0.000 0.000 0.500
Se 0.500 0.000 0.000

Values from the calculation:
Electronic total energy   -3.093 eV per atom
E_form (uncorrected)   0.74 eV per atom
Symmetry   Pm-3m
Magnetization   0.00 Bohr magnetons per cell
N(E_F)   10.6 states/eV/cell
ΔE to the lowest computed polymorph   8.62 kcal/mol of atoms

---

[2]
This record from the Alexandria database describes a geometry-optimized LiHo2Hg3 structure. The functional is GGA-PBE.

abc: 3.797 7.121 11.639
angles: 90.00 99.39 90.00
Fractional positions:
Li 0.349 0.750 0.698
Li 0.651 0.250 0.302
Ho 0.160 0.750 0.319
Ho 0.840 0.250 0.681
Ho 0.982 0.750 0.964
Ho 0.018 0.250 0.036
Hg 0.425 0.464 0.850
Hg 0.575 0.536 0.150
Hg 0.425 0.036 0.850
Hg 0.575 0.964 0.150
Hg 0.764 0.750 0.528
Hg 0.236 0.250 0.472

Values from the calculation:
Electronic total energy   -2.287 eV per atom
Symmetry   Cmcm
Magnetization   0.00 Bohr magnetons per cell
E_form   -0.29 eV per atom
N(E_F)   8.1 states/eV/cell
ΔE to the lowest computed polymorph   3.76 kcal/mol of atoms

---

[3]
This record from the Alexandria database describes a geometry-optimized KCoP structure. The functional is GGA-PBE.

abc: 4.459 4.459 4.459
angles: 60.00 60.00 60.00
Last column: magnetic moment on the atom in μB.
Fractional positions:
Co 0.750 0.750 0.750  2.10
K 0.000 0.000 0.000  0.05
P 0.500 0.500 0.500  0.19

Values from the calculation:
Electronic total energy   -3.851 eV per atom
Symmetry   F-43m
Magnetization   2.70 Bohr magnetons per cell
E_form   0.69 eV per atom
N(E_F)   2.1 states/eV/cell

---

[4]
This record from the Alexandria database describes a geometry-optimized YMnAs2 structure. The functional is GGA-PBE.

abc: 4.817 4.817 4.817
angles: 60.00 60.00 60.00
Last column: magnetic moment on the atom in μB.
Fractional positions:
As 0.000 0.000 0.000  -0.02
As 0.250 0.250 0.250  -0.09
Mn 0.500 0.500 0.500  3.54
Y 0.750 0.750 0.750  -0.06

Values from the calculation:
Electronic total energy   -6.284 eV per atom
Symmetry   F-43m
Magnetization   3.42 Bohr magnetons per cell
E_form   -0.05 eV per atom
N(E_F)   2.2 states/eV/cell
ΔE to the lowest computed polymorph   14.96 kcal/mol of atoms

---

Number 1: calculated volume 110.8 Å³ per cell. Number 2: calculated volume 310.5 Å³ per cell. Number 3: calculated volume 62.7 Å³ per cell. Number 4: calculated volume 79.0 Å³ per cell.